a | # MgInAg2 PBE relaxed
# - Total magnetization: 0.0000 μB per atom
data_MgInAg2
_chemical_formula_sum 'Mg2 In2 Ag4'
_space_group_name_H-M_alt 'C 1 m 1'
_space_group_IT_number 8
_space_group_name_Hall 'C -2y'
_cell_length_a 9.857
_cell_length_b 3.712
_cell_length_c 4.626
_cell_angle_alpha 90.00
_cell_angle_beta 111.40
_cell_angle_gamma 90.00
loop_
_atom_site_label
_atom_site_fract_x
_atom_site_fract_y
_atom_site_fract_z
Mg1 0.000 0.000 0.000
In1 0.237 0.000 0.698
Ag1 0.245 0.500 0.205
Ag2 0.490 0.000 0.488



b | # MgInAg2 PBE relaxed
# - Total magnetization: 0.0000 μB per atom
data_MgInAg2
_chemical_formula_sum 'Mg4 In4 Ag8'
_space_group_name_H-M_alt 'F m -3 m'
_space_group_IT_number 225
_space_group_name_Hall '-F 4 2 3'
_cell_length_a 6.760
_cell_length_b 6.760
_cell_length_c 6.760
_cell_angle_alpha 90.00
_cell_angle_beta 90.00
_cell_angle_gamma 90.00
loop_
_atom_site_label
_atom_site_fract_x
_atom_site_fract_y
_atom_site_fract_z
Mg1 0.000 0.000 0.000
In1 0.000 0.000 0.500
Ag1 0.250 0.250 0.250



Quick one: least stable of them? a



a | # Mg5In2Ag PBE relaxed
# - Total magnetization: 0.0000 μB per atom
data_Mg5In2Ag
_chemical_formula_sum 'Mg10 In4 Ag2'
_space_group_name_H-M_alt 'I m m 2'
_space_group_IT_number 44
_space_group_name_Hall 'I 2 -2'
_cell_length_a 6.512
_cell_length_b 7.821
_cell_length_c 6.893
_cell_angle_alpha 90.00
_cell_angle_beta 90.00
_cell_angle_gamma 90.00
loop_
_atom_site_label
_atom_site_fract_x
_atom_site_fract_y
_atom_site_fract_z
Mg1 0.000 0.000 0.000
Mg2 0.247 0.217 0.701
In1 0.000 0.500 0.479
In2 0.000 0.500 0.921
Ag1 0.000 0.000 0.421



b | # Mg5In2Ag PBE relaxed
# - Total magnetization: 0.0000 μB per atom
data_Mg5In2Ag
_chemical_formula_sum 'Mg10 In4 Ag2'
_space_group_name_H-M_alt 'I 4/m m m'
_space_group_IT_number 139
_space_group_name_Hall '-I 4 2'
_cell_length_a 4.688
_cell_length_b 4.688
_cell_length_c 16.018
_cell_angle_alpha 90.00
_cell_angle_beta 90.00
_cell_angle_gamma 90.00
loop_
_atom_site_label
_atom_site_fract_x
_atom_site_fract_y
_atom_site_fract_z
Mg1 0.000 0.000 0.000
Mg2 0.000 0.500 0.117
In1 0.000 0.000 0.247
Ag1 0.000 0.000 0.500



Quick one: least stable of them? b



a | # Mg2InAg2 PBE relaxed
# - Total magnetization: 0.0000 μB per atom
data_Mg2InAg2
_chemical_formula_sum 'Mg4 In2 Ag4'
_space_group_name_H-M_alt 'I 4/m m m'
_space_group_IT_number 139
_space_group_name_Hall '-I 4 2'
_cell_length_a 3.865
_cell_length_b 3.865
_cell_length_c 15.121
_cell_angle_alpha 90.00
_cell_angle_beta 90.00
_cell_angle_gamma 90.00
loop_
_atom_site_label
_atom_site_fract_x
_atom_site_fract_y
_atom_site_fract_z
Mg1 0.000 0.000 0.108
In1 0.000 0.000 0.500
Ag1 0.000 0.500 0.250



b | # Mg2InAg2 PBE relaxed
# - Total magnetization: 0.0000 μB per atom
data_Mg2InAg2
_chemical_formula_sum 'Mg4 In2 Ag4'
_space_group_name_H-M_alt 'I 4/m m m'
_space_group_IT_number 139
_space_group_name_Hall '-I 4 2'
_cell_length_a 4.170
_cell_length_b 4.170
_cell_length_c 12.891
_cell_angle_alpha 90.00
_cell_angle_beta 90.00
_cell_angle_gamma 90.00
loop_
_atom_site_label
_atom_site_fract_x
_atom_site_fract_y
_atom_site_fract_z
Mg1 0.000 0.500 0.250
In1 0.000 0.000 0.000
Ag1 0.000 0.000 0.394



Quick one: least stable of them? b



a | # Mg2InAg2 PBE relaxed
# - Total magnetization: 0.0000 μB per atom
data_Mg2InAg2
_chemical_formula_sum 'Mg4 In2 Ag4'
_space_group_name_H-M_alt 'P 4/m b m'
_space_group_IT_number 127
_space_group_name_Hall '-P 4 2ab'
_cell_length_a 7.789
_cell_length_b 7.789
_cell_length_c 3.351
_cell_angle_alpha 90.00
_cell_angle_beta 90.00
_cell_angle_gamma 90.00
loop_
_atom_site_label
_atom_site_fract_x
_atom_site_fract_y
_atom_site_fract_z
Mg1 0.161 0.339 0.000
In1 0.000 0.000 0.500
Ag1 0.134 0.634 0.500



b | # Mg2InAg2 PBE relaxed
# - Total magnetization: 0.0000 μB per atom
data_Mg2InAg2
_chemical_formula_sum 'Mg4 In2 Ag4'
_space_group_name_H-M_alt 'P 4/m b m'
_space_group_IT_number 127
_space_group_name_Hall '-P 4 2ab'
_cell_length_a 8.152
_cell_length_b 8.152
_cell_length_c 3.125
_cell_angle_alpha 90.00
_cell_angle_beta 90.00
_cell_angle_gamma 90.00
loop_
_atom_site_label
_atom_site_fract_x
_atom_site_fract_y
_atom_site_fract_z
Mg1 0.137 0.363 0.000
In1 0.000 0.000 0.000
Ag1 0.158 0.658 0.500



Quick one: least stable of them? b



a | # Mg6InAg PBE relaxed
# - Total magnetization: 0.0000 μB per atom
data_Mg6InAg
_chemical_formula_sum 'Mg6 In1 Ag1'
_space_group_name_H-M_alt 'P -6 m 2'
_space_group_IT_number 187
_space_group_name_Hall 'P -6 2'
_cell_length_a 6.1957
_cell_length_b 6.1957
_cell_length_c 5.1576
_cell_angle_alpha 90.00
_cell_angle_beta 90.00
_cell_angle_gamma 120.00
loop_
_atom_site_label
_atom_site_fract_x
_atom_site_fract_y
_atom_site_fract_z
Mg1 0.1671 0.3342 0.0000
Mg2 0.5036 0.0072 0.5000
In1 0.0000 0.0000 0.5000
Ag1 0.6667 0.3333 0.0000



b | # Mg6InAg PBE relaxed
# - Total magnetization: 0.0000 μB per atom
data_Mg6InAg
_chemical_formula_sum 'Mg12 In2 Ag2'
_space_group_name_H-M_alt 'I 4/m m m'
_space_group_IT_number 139
_space_group_name_Hall '-I 4 2'
_cell_length_a 4.630
_cell_length_b 4.630
_cell_length_c 16.401
_cell_angle_alpha 90.00
_cell_angle_beta 90.00
_cell_angle_gamma 90.00
loop_
_atom_site_label
_atom_site_fract_x
_atom_site_fract_y
_atom_site_fract_z
Mg1 0.000 0.000 0.250
Mg2 0.000 0.500 0.117
In1 0.000 0.000 0.000
Ag1 0.000 0.000 0.500



Quick one: least stable of them? b



a | # MgInAg6 PBE relaxed
# - Total magnetization: 0.0000 μB per atom
data_MgInAg6
_chemical_formula_sum 'Mg2 In2 Ag12'
_space_group_name_H-M_alt 'C m m m'
_space_group_IT_number 65
_space_group_name_Hall '-C 2 2'
_cell_length_a 8.199
_cell_length_b 8.209
_cell_length_c 4.388
_cell_angle_alpha 90.00
_cell_angle_beta 90.00
_cell_angle_gamma 90.00
loop_
_atom_site_label
_atom_site_fract_x
_atom_site_fract_y
_atom_site_fract_z
Mg1 0.000 0.000 0.000
In1 0.000 0.500 0.000
Ag1 0.000 0.247 0.500
Ag2 0.247 0.000 0.500
Ag3 0.250 0.250 0.000



b | # MgInAg6 PBE relaxed
# - Total magnetization: 0.0000 μB per atom
data_MgInAg6
_chemical_formula_sum 'Mg2 In2 Ag12'
_space_group_name_H-M_alt 'A m m 2'
_space_group_IT_number 38
_space_group_name_Hall 'A 2 -2'
_cell_length_a 4.849
_cell_length_b 6.135
_cell_length_c 9.929
_cell_angle_alpha 90.00
_cell_angle_beta 90.00
_cell_angle_gamma 90.00
loop_
_atom_site_label
_atom_site_fract_x
_atom_site_fract_y
_atom_site_fract_z
Mg1 0.000 0.000 0.000
In1 0.500 0.000 0.321
Ag1 0.000 0.000 0.501
Ag2 0.000 0.246 0.749
Ag3 0.500 0.000 0.821
Ag4 0.500 0.249 0.071



Quick one: least stable of them? b